# NdHg4Bi (PBE, relaxed)
# * formation enthalpy at 0 K: -0.129 eV/atom
# * ρ: 11.88 g/cm3
# * E: -1.772 eV/atom
data_NdHg4Bi
_chemical_formula_sum 'Nd4 Hg16 Bi4'
_symmetry_space_group_name_H-M 'F -4 3 m'
_symmetry_Int_Tables_number 216
_symmetry_space_group_name_Hall 'F -4 2 3'
_cell_length_a 8.645
_cell_length_b 8.645
_cell_length_c 8.645
_cell_angle_alpha 90.00
_cell_angle_beta 90.00
_cell_angle_gamma 90.00
loop_
_atom_site_label
_atom_site_fract_x
_atom_site_fract_y
_atom_site_fract_z
Nd1 0.000 0.000 0.000
Hg1 0.124 0.124 0.376
Bi1 0.250 0.250 0.750


# Nd7Hg2Bi2 (PBE, relaxed)
# * formation enthalpy at 0 K: -0.206 eV/atom
# * ρ: 7.73 g/cm3
# * E: -4.000 eV/atom
data_Nd7Hg2Bi2
_chemical_formula_sum 'Nd14 Hg4 Bi4'
_symmetry_space_group_name_H-M 'C m m m'
_symmetry_Int_Tables_number 65
_symmetry_space_group_name_Hall '-C 2 2'
_cell_length_a 9.954
_cell_length_b 11.589
_cell_length_c 6.809
_cell_angle_alpha 90.00
_cell_angle_beta 90.00
_cell_angle_gamma 90.00
loop_
_atom_site_label
_atom_site_fract_x
_atom_site_fract_y
_atom_site_fract_z
Nd1 0.000 0.000 0.000
Nd2 0.000 0.500 0.252
Nd3 0.250 0.250 0.260
Hg1 0.000 0.271 0.000
Bi1 0.192 0.000 0.500


# NdHg2Bi (PBE, relaxed)
# * formation enthalpy at 0 K: 0.091 eV/atom
# * ρ: 10.02 g/cm3
# * E: -2.222 eV/atom
data_NdHg2Bi
_chemical_formula_sum 'Nd3 Hg6 Bi3'
_symmetry_space_group_name_H-M 'R -3 m'
_symmetry_Int_Tables_number 166
_symmetry_space_group_name_Hall '-R 3 2"'
_cell_length_a 3.4948
_cell_length_b 3.4948
_cell_length_c 35.4761
_cell_angle_alpha 90.00
_cell_angle_beta 90.00
_cell_angle_gamma 120.00
loop_
_atom_site_label
_atom_site_fract_x
_atom_site_fract_y
_atom_site_fract_z
Nd1 0.0000 0.0000 0.0000
Hg1 0.0000 0.0000 0.0880
Bi1 0.0000 0.0000 0.5000


# NdHgBi2 (PBE, relaxed)
# * formation enthalpy at 0 K: -0.431 eV/atom
# * relative energy among the computed polymorphs: 3.1 kJ per mole of atoms
# * ρ: 10.15 g/cm3
# * E: -3.639 eV/atom
data_NdHgBi2
_chemical_formula_sum 'Nd1 Hg1 Bi2'
_symmetry_space_group_name_H-M 'P 4/m m m'
_symmetry_Int_Tables_number 123
_symmetry_space_group_name_Hall '-P 4 2'
_cell_length_a 4.342
_cell_length_b 4.342
_cell_length_c 6.623
_cell_angle_alpha 90.00
_cell_angle_beta 90.00
_cell_angle_gamma 90.00
loop_
_atom_site_label
_atom_site_fract_x
_atom_site_fract_y
_atom_site_fract_z
Nd1 0.000 0.000 0.000
Hg1 0.000 0.000 0.500
Bi1 0.500 0.500 0.232